No. 1
DFT (PBE-GGA) results for a geometry-optimized CsAc2AgF8 structure.

Cell lengths 4.330, 6.765, 8.397 Å; angles 96.43, 90.00, 90.00 degrees
Sites, in units of the cell vectors:
F  0.500  0.701  0.509
F  0.000  0.644  0.261
F  0.000  0.762  0.788
F  0.500  0.299  0.491
F  0.000  0.356  0.739
F  0.000  0.238  0.212
F  0.500  0.289  0.968
F  0.500  0.711  0.032
Ac  0.500  0.530  0.757
Ac  0.500  0.470  0.243
Ag  0.000  0.000  0.000
Cs  0.000  0.000  0.500

## Properties
Calculated total energy = -5.644 eV per atom
Crystal system = monoclinic

---

No. 2
DFT (PBE-GGA) results for a geometry-optimized CsAc2AgI8 structure.

Cell lengths 8.009, 8.000, 10.111 Å; angles 90.17, 89.83, 80.86 degrees
Sites, in units of the cell vectors:
I  0.631  0.728  0.001
I  0.860  0.252  0.203
I  0.860  0.257  0.795
I  0.615  0.717  0.500
I  0.369  0.272  0.999
I  0.385  0.283  0.500
I  0.140  0.748  0.797
I  0.140  0.743  0.205
Ac  0.500  0.501  0.761
Ac  0.500  0.499  0.239
Cs  0.000  0.000  0.500
Ag  0.000  0.000  0.000

## Properties
Calculated total energy = -3.300 eV per atom
Crystal system = triclinic

---

No. 3
DFT (PBE-GGA) results for a geometry-optimized Cs2AcAgI6 structure.

Cell lengths 7.461, 8.724, 8.724 Å; angles 120.00, 90.00, 90.00 degrees
Sites, in units of the cell vectors:
Ag  0.000  0.000  0.000
I  0.764  0.171  0.829
I  0.236  0.829  0.171
I  0.236  0.829  0.658
I  0.764  0.171  0.342
I  0.236  0.342  0.171
I  0.764  0.658  0.829
Cs  0.771  0.667  0.333
Cs  0.229  0.333  0.667
Ac  0.500  0.000  0.000

## Properties
Calculated total energy = -3.085 eV per atom
Crystal system = trigonal

---

No. 4
DFT (PBE-GGA) results for a geometry-optimized Cs2AcAg2I6 structure.

Cell lengths 8.932, 8.363, 9.658 Å; angles 111.76, 90.00, 122.28 degrees
Site moments in Bohr magnetons follow the coordinates.
Sites, in units of the cell vectors:
Ag  0.965  0.930  0.613  0.08
Ag  0.035  0.070  0.387  0.08
I  0.684  0.910  0.206  0.03
I  0.751  0.502  0.605  0.01
I  0.316  0.090  0.794  0.03
I  0.226  0.910  0.206  0.03
I  0.249  0.498  0.395  0.01
I  0.774  0.090  0.794  0.03
Cs  0.714  0.428  0.183  0.00
Cs  0.286  0.572  0.817  0.00
Ac  0.500  0.000  0.500  0.00

## Properties
Calculated total energy = -2.928 eV per atom
Crystal system = monoclinic

---

No. 5
DFT (PBE-GGA) results for a geometry-optimized Cs4Ac3AgO8 structure.

Cell lengths 7.402, 8.014, 7.854 Å; angles 114.28, 118.12, 90.00 degrees
Sites, in units of the cell vectors:
O  0.717  0.279  0.433
O  0.245  0.353  0.067
O  0.283  0.721  0.567
O  0.707  0.673  0.413
O  0.822  0.353  0.067
O  0.178  0.647  0.933
O  0.293  0.327  0.587
O  0.755  0.647  0.933
Cs  0.000  0.000  0.000
Cs  0.000  0.000  0.500
Cs  0.500  0.000  0.000
Cs  0.500  0.000  0.500
Ac  0.000  0.500  0.500
Ac  0.500  0.500  0.000
Ac  0.500  0.500  0.500
Ag  0.000  0.500  0.000

## Properties
Calculated total energy = -5.597 eV per atom
Crystal system = monoclinic

---

No. 6
DFT (PBE-GGA) results for a geometry-optimized CsAc2AgO4 structure.

Cell lengths 3.929, 6.823, 13.143 Å; angles 90.00, 90.00, 106.73 degrees
Sites, in units of the cell vectors:
Ac  0.368  0.736  0.940
Ac  0.368  0.736  0.560
Ac  0.632  0.264  0.060
Ac  0.632  0.264  0.440
Cs  0.912  0.825  0.250
Cs  0.088  0.175  0.750
O  0.000  0.000  0.500
O  0.751  0.503  0.587
O  0.587  0.174  0.250
O  0.249  0.497  0.087
O  0.751  0.503  0.913
O  0.413  0.826  0.750
O  0.000  0.000  0.000
O  0.249  0.497  0.413
Ag  0.192  0.385  0.250
Ag  0.808  0.615  0.750

## Properties
Calculated total energy = -6.224 eV per atom
Crystal system = orthorhombic

---

No. 7
DFT (PBE-GGA) results for a geometry-optimized CsAc2AgO5 structure.

Cell lengths 7.278, 7.278, 8.201 Å; angles 116.34, 116.34, 90.00 degrees
Site moments in Bohr magnetons follow the coordinates.
Sites, in units of the cell vectors:
O  0.000  0.000  0.000  0.15
O  0.753  0.253  0.767  0.30
O  0.514  0.753  0.767  0.30
O  0.247  0.747  0.233  0.30
O  0.486  0.247  0.233  0.30
O  0.500  0.500  0.000  0.15
O  0.986  0.486  0.233  0.30
O  0.253  0.014  0.767  0.30
O  0.747  0.986  0.233  0.30
O  0.014  0.514  0.767  0.30
Cs  0.250  0.250  0.500  0.00
Cs  0.750  0.750  0.500  0.00
Ac  0.177  0.323  0.000  0.03
Ac  0.677  0.177  0.000  0.03
Ac  0.823  0.677  0.000  0.03
Ac  0.323  0.823  0.000  0.03
Ag  0.750  0.250  0.500  0.41
Ag  0.250  0.750  0.500  0.41

## Properties
Calculated total energy = -6.074 eV per atom
Crystal system = tetragonal

---

No. 8
DFT (PBE-GGA) results for a geometry-optimized CsAcAgO3 structure.

Cell lengths 4.180, 8.164, 9.692 Å; angles 109.32, 90.00, 90.00 degrees
Sites, in units of the cell vectors:
O  0.750  0.469  0.116
O  0.250  0.531  0.884
O  0.750  0.057  0.612
O  0.250  0.140  0.862
O  0.750  0.860  0.138
O  0.250  0.943  0.388
Cs  0.750  0.810  0.816
Cs  0.250  0.190  0.184
Ag  0.750  0.961  0.373
Ag  0.250  0.039  0.627
Ac  0.250  0.670  0.143
Ac  0.750  0.330  0.857

## Properties
Calculated total energy = -5.463 eV per atom
Crystal system = monoclinic

---

No. 9
DFT (PBE-GGA) results for a geometry-optimized CsAc2AgS4 structure.

Cell lengths 4.408, 7.782, 15.049 Å; angles 90.00, 90.00, 106.45 degrees
Sites, in units of the cell vectors:
Ac  0.367  0.735  0.938
Ac  0.633  0.265  0.062
Ac  0.367  0.735  0.562
Ac  0.633  0.265  0.438
S  0.742  0.483  0.605
S  0.573  0.146  0.250
S  0.427  0.854  0.750
S  0.000  0.000  0.500
S  0.258  0.517  0.105
S  0.000  0.000  0.000
S  0.742  0.483  0.895
S  0.258  0.517  0.395
Cs  0.109  0.219  0.750
Cs  0.891  0.781  0.250
Ag  0.165  0.329  0.250
Ag  0.835  0.671  0.750

## Properties
Calculated total energy = -5.215 eV per atom
Crystal system = orthorhombic

---

No. 10
DFT (PBE-GGA) results for a geometry-optimized CsAc2AgSe4 structure.

Cell lengths 4.553, 8.061, 15.634 Å; angles 90.00, 90.00, 106.40 degrees
Sites, in units of the cell vectors:
Se  0.261  0.521  0.393
Se  0.000  0.000  0.500
Se  0.000  0.000  0.000
Se  0.432  0.864  0.750
Se  0.739  0.479  0.893
Se  0.568  0.136  0.250
Se  0.261  0.521  0.107
Se  0.739  0.479  0.607
Cs  0.888  0.776  0.250
Cs  0.112  0.224  0.750
Ac  0.367  0.734  0.937
Ac  0.367  0.734  0.563
Ac  0.633  0.266  0.437
Ac  0.633  0.266  0.063
Ag  0.162  0.323  0.250
Ag  0.838  0.677  0.750

## Properties
Calculated total energy = -4.819 eV per atom
Crystal system = orthorhombic

---

No. 11
DFT (PBE-GGA) results for a geometry-optimized CsAcAgSe2 structure.

Cell lengths 5.188, 8.448, 9.067 Å; angles 98.75, 90.00, 90.00 degrees
Sites, in units of the cell vectors:
Se  0.648  0.232  0.531
Se  0.648  0.768  0.969
Se  0.352  0.232  0.031
Se  0.352  0.768  0.469
Ag  0.000  0.000  0.000
Ag  0.000  0.000  0.500
Cs  0.868  0.500  0.250
Cs  0.132  0.500  0.750
Ac  0.508  0.000  0.750
Ac  0.492  0.000  0.250

## Properties
Calculated total energy = -4.033 eV per atom
Crystal system = monoclinic

---

No. 12
DFT (PBE-GGA) results for a geometry-optimized CsAcAgTe2 structure.

Cell lengths 5.079, 9.057, 9.652 Å; angles 96.31, 90.00, 90.00 degrees
Sites, in units of the cell vectors:
Te  0.362  0.237  0.023
Te  0.638  0.237  0.523
Te  0.362  0.763  0.477
Te  0.638  0.763  0.977
Ac  0.506  0.000  0.750
Ac  0.494  0.000  0.250
Ag  0.000  0.000  0.500
Ag  0.000  0.000  0.000
Cs  0.885  0.500  0.250
Cs  0.115  0.500  0.750

## Properties
Calculated total energy = -3.698 eV per atom
Crystal system = monoclinic

---

No. 13
DFT (PBE-GGA) results for a geometry-optimized Ac3Cu2Ag9 structure.

Cell lengths 4.716, 8.756, 8.756 Å; angles 70.92, 74.38, 74.38 degrees
Sites, in units of the cell vectors:
Ac  0.316  0.684  0.684
Ac  0.000  0.000  0.000
Ac  0.684  0.316  0.316
Ag  0.327  0.031  0.314
Ag  0.000  0.500  0.500
Ag  0.883  0.394  0.840
Ag  0.117  0.606  0.160
Ag  0.117  0.160  0.606
Ag  0.673  0.969  0.686
Ag  0.327  0.314  0.031
Ag  0.673  0.686  0.969
Ag  0.883  0.840  0.394
Cu  0.500  0.278  0.722
Cu  0.500  0.722  0.278

## Properties
Calculated total energy = -3.477 eV per atom
Calculated formation energy = -179 meV/atom
Crystal system = orthorhombic

---

No. 14
DFT (PBE-GGA) results for a geometry-optimized AcCuAg structure.

Cell lengths 3.718, 3.718, 5.878 Å; angles 108.44, 108.44, 90.00 degrees
Sites, in units of the cell vectors:
Cu  0.643  0.643  0.285
Ac  0.954  0.954  0.908
Ag  0.253  0.253  0.506

## Properties
Calculated total energy = -3.741 eV per atom
Calculated formation energy = -55 meV/atom
Crystal system = tetragonal
Energy above the most stable polymorph in this dataset = 0.180 eV per atom

---

No. 15
DFT (PBE-GGA) results for a geometry-optimized Ac2Cu2Ag3 structure.

Cell lengths 4.279, 5.814, 7.205 Å; angles 97.49, 90.00, 111.59 degrees
Sites, in units of the cell vectors:
Ac  0.373  0.745  0.679
Ac  0.627  0.255  0.321
Cu  0.081  0.162  0.650
Cu  0.919  0.838  0.350
Ag  0.680  0.360  0.863
Ag  0.320  0.640  0.137
Ag  0.000  0.000  0.000

## Properties
Calculated total energy = -3.726 eV per atom
Calculated formation energy = -160 meV/atom
Crystal system = monoclinic
Energy above the most stable polymorph in this dataset = 0.000 eV per atom

---

No. 16
DFT (PBE-GGA) results for a geometry-optimized AcCu10Ag structure.

Cell lengths 4.134, 5.045, 8.777 Å; angles 90.00, 90.00, 90.00 degrees
Sites, in units of the cell vectors:
Cu  0.500  0.000  0.500
Cu  0.000  0.500  0.851
Cu  0.500  0.752  0.241
Cu  0.500  0.248  0.759
Cu  0.500  0.752  0.759
Cu  0.500  0.500  0.000
Cu  0.500  0.248  0.241
Cu  0.000  0.000  0.304
Cu  0.000  0.500  0.149
Cu  0.000  0.000  0.696
Ag  0.000  0.000  0.000
Ac  0.000  0.500  0.500

## Properties
Calculated total energy = -4.002 eV per atom
Calculated formation energy = -9 meV/atom
Crystal system = orthorhombic

---

No. 17
DFT (PBE-GGA) results for a geometry-optimized AcCuAg structure.

Cell lengths 4.118, 4.620, 4.620 Å; angles 120.00, 90.00, 90.00 degrees
Sites, in units of the cell vectors:
Cu  0.166  0.000  0.000
Ag  0.167  0.333  0.667
Ac  0.667  0.667  0.333

## Properties
Calculated total energy = -3.916 eV per atom
Calculated formation energy = -230 meV/atom
Crystal system = hexagonal
Energy above the most stable polymorph in this dataset = 0.005 eV per atom

---

No. 18
DFT (PBE-GGA) results for a geometry-optimized Ac2CuAg2 structure.

Cell lengths 4.454, 6.241, 11.107 Å; angles 86.37, 78.43, 69.10 degrees
Sites, in units of the cell vectors:
Cu  0.416  0.850  0.318
Cu  0.584  0.150  0.682
Ag  0.369  0.143  0.119
Ag  0.052  0.314  0.583
Ag  0.948  0.686  0.417
Ag  0.631  0.857  0.881
Ac  0.307  0.744  0.643
Ac  0.084  0.717  0.114
Ac  0.693  0.256  0.357
Ac  0.916  0.283  0.886

## Properties
Calculated total energy = -3.843 eV per atom
Calculated formation energy = -240 meV/atom
Crystal system = monoclinic

---

No. 19
DFT (PBE-GGA) results for a geometry-optimized AcCuAg structure.

Cell lengths 4.256, 6.085, 8.605 Å; angles 122.42, 104.44, 110.42 degrees
Sites, in units of the cell vectors:
Ag  0.833  0.415  0.249
Ag  0.167  0.585  0.751
Ac  0.444  0.139  0.749
Ac  0.556  0.861  0.251
Cu  0.000  0.000  0.000
Cu  0.500  0.500  0.500

## Properties
Calculated total energy = -3.768 eV per atom
Calculated formation energy = -83 meV/atom
Crystal system = triclinic
Energy above the most stable polymorph in this dataset = 0.153 eV per atom

---

No. 20
DFT (PBE-GGA) results for a geometry-optimized AcCu2Ag structure.

Cell lengths 3.545, 3.545, 6.657 Å; angles 90.00, 90.00, 90.00 degrees
Sites, in units of the cell vectors:
Ag  0.500  0.500  0.000
Ac  0.500  0.500  0.500
Cu  0.000  0.000  0.812
Cu  0.000  0.000  0.188

## Properties
Calculated total energy = -3.739 eV per atom
Calculated formation energy = 49 meV/atom
Crystal system = tetragonal

---

No. 21
DFT (PBE-GGA) results for a geometry-optimized AcCu2Ag2 structure.

Cell lengths 4.353, 4.998, 5.718 Å; angles 110.17, 112.37, 90.00 degrees
Sites, in units of the cell vectors:
Ac  0.000  0.000  0.000
Cu  0.264  0.868  0.528
Cu  0.736  0.132  0.472
Ag  0.645  0.562  0.291
Ag  0.355  0.438  0.709

## Properties
Calculated total energy = -3.720 eV per atom
Calculated formation energy = -119 meV/atom
Crystal system = monoclinic

---

No. 22
DFT (PBE-GGA) results for a geometry-optimized AcCuAg structure.

Cell lengths 4.888, 4.888, 4.888 Å; angles 60.00, 60.00, 60.00 degrees
Sites, in units of the cell vectors:
Ac  0.000  0.000  0.000
Cu  0.250  0.250  0.250
Ag  0.500  0.500  0.500

## Properties
Calculated total energy = -3.745 eV per atom
Calculated formation energy = -60 meV/atom
Crystal system = cubic
Energy above the most stable polymorph in this dataset = 0.176 eV per atom